No. 1
! DyTcAsO, relaxed, DFT GGA-PBE; values from VASP
! Spin magnetization = 0.086 μB per atom
! Total energy = -59.68 eV for the cell shown
! Relative energy among the computed polymorphs = 468 meV/atom
&SYSTEM
  ibrav = 0, nat = 8, ntyp = 4
/
ATOMIC_SPECIES
Tc 98.00 Tc.upf
Dy 162.50 Dy.upf
As 74.92 As.upf
O 16.00 O.upf
CELL_PARAMETERS angstrom
-1.4431 3.8536 -1.4955
-3.7183 -0.4008 2.5552
3.0428 3.0431 4.9052
ATOMIC_POSITIONS angstrom
Tc 0.4245 2.5944 6.2755
Tc 0.0482 1.1963 3.0360
Dy -1.8331 3.4260 4.1879
Dy -1.2209 2.1344 0.2692
As 1.8111 2.3335 4.2652
As -2.2582 0.5373 3.5635
O -0.3420 4.4967 5.5080
O -0.6724 3.1035 2.2370


No. 2
! LiGaAu2, relaxed, DFT GGA-PBE; values from VASP
! Total energy = -79.23 eV for the cell shown
&SYSTEM
  ibrav = 0, nat = 24, ntyp = 3
/
ATOMIC_SPECIES
Au 196.97 Au.upf
Li 6.94 Li.upf
Ga 69.72 Ga.upf
CELL_PARAMETERS angstrom
-1.3622 -1.8658 -3.8444
-0.0204 -5.6899 2.7687
-12.8243 1.8258 3.6579
ATOMIC_POSITIONS angstrom
Au -9.2460 -3.9844 2.5929
Au -10.6922 0.0978 3.7404
Au -9.2358 -1.1374 1.2075
Au -0.6964 -5.2020 0.1551
Au -3.5044 -2.9847 -2.5416
Au -4.9710 -4.5925 1.3746
Au -0.6862 -2.3536 -1.2309
Au -10.7024 -2.7451 5.1237
Au -6.4274 -3.3528 3.9046
Au -4.9608 -1.7454 -0.0107
Au -6.4172 -0.5113 2.5219
Au -3.5146 -5.8276 -1.1582
Li -11.3806 -2.2573 2.5084
Li -8.5488 1.2158 2.4357
Li -5.6376 -1.2557 -2.6222
Li 0.0000 0.0000 0.0000
Li -2.8262 -3.4726 0.0738
Li -7.1034 -2.8649 1.2911
Ga -2.8195 -0.6283 -1.3121
Ga -7.0932 -0.0200 -0.0933
Ga -11.3669 0.5884 1.1256
Ga -0.0102 -2.8450 1.3843
Ga -8.5608 -1.6276 3.8232
Ga -4.2839 -2.2365 2.6033


No. 3
! Gd2Mg, relaxed, DFT GGA-PBE; values from VASP
! Spin magnetization = 0.001 μB per atom
! Total energy = -20.00 eV for the cell shown
! Relative energy among the computed polymorphs = 215 meV/atom
&SYSTEM
  ibrav = 0, nat = 6, ntyp = 2
/
ATOMIC_SPECIES
Mg 24.30 Mg.upf
Gd 157.25 Gd.upf
CELL_PARAMETERS angstrom
0.0000 4.5438 4.5438
4.5438 0.0000 4.5438
4.5438 4.5438 0.0000
ATOMIC_POSITIONS angstrom
Mg 0.0000 0.0000 0.0000
Mg 2.2719 2.2719 2.2719
Gd 5.6797 3.4078 3.4078
Gd 3.4078 5.6797 3.4078
Gd 3.4078 3.4078 5.6797
Gd 5.6797 5.6797 5.6797


No. 4
! RbZrBeAu, relaxed, DFT GGA-PBE; values from VASP
! Spin magnetization = 0.000 μB per atom
! Total energy = -12.76 eV for the cell shown
! Relative energy among the computed polymorphs = 213 meV/atom
&SYSTEM
  ibrav = 0, nat = 4, ntyp = 4
/
ATOMIC_SPECIES
Be 9.01 Be.upf
Rb 85.47 Rb.upf
Au 196.97 Au.upf
Zr 91.22 Zr.upf
CELL_PARAMETERS angstrom
0.0000 3.4619 3.4619
3.4619 0.0000 3.4619
3.4619 3.4619 0.0000
ATOMIC_POSITIONS angstrom
Be 0.0000 0.0000 0.0000
Rb 3.4619 3.4619 3.4619
Au 5.1929 5.1929 5.1929
Zr 1.7310 1.7310 1.7310


No. 5
! KTaHg, relaxed, DFT GGA-PBE; values from VASP
! Spin magnetization = 1.227 μB per atom
! Total energy = -8.52 eV for the cell shown
! Relative energy among the computed polymorphs = 0 meV/atom
&SYSTEM
  ibrav = 0, nat = 3, ntyp = 3
/
ATOMIC_SPECIES
Hg 200.59 Hg.upf
K 39.10 K.upf
Ta 180.95 Ta.upf
CELL_PARAMETERS angstrom
-1.2262 -4.3675 -2.4646
-4.1689 -2.6881 1.4306
-4.1493 -0.1551 -3.0678
ATOMIC_POSITIONS angstrom
Hg 0.0000 0.0000 0.0000
K -2.3861 -1.8027 -1.0255
Ta -7.1584 -5.4080 -3.0764


No. 6
! UFe2, relaxed, DFT GGA-PBE; values from VASP
! Spin magnetization = 0.045 μB per atom
! Total energy = -49.64 eV for the cell shown
! Calculated formation energy = 1031.3 meV per atom
&SYSTEM
  ibrav = 0, nat = 6, ntyp = 2
/
ATOMIC_SPECIES
Fe 55.84 Fe.upf
U 238.03 U.upf
CELL_PARAMETERS angstrom
6.3037 0.0000 0.0000
0.0000 6.3037 0.0000
0.0000 0.0000 2.9560
ATOMIC_POSITIONS angstrom
Fe 5.1018 1.2020 1.4780
Fe 1.2020 5.1018 1.4780
Fe 1.9499 1.9499 0.0000
Fe 4.3538 4.3538 0.0000
U 0.0000 0.0000 0.0000
U 3.1519 3.1519 1.4780


No. 7
! CuBiTe, relaxed, DFT GGA-PBE; values from VASP
! Total energy = -10.42 eV for the cell shown
&SYSTEM
  ibrav = 0, nat = 3, ntyp = 3
/
ATOMIC_SPECIES
Cu 63.55 Cu.upf
Te 127.60 Te.upf
Bi 208.98 Bi.upf
CELL_PARAMETERS angstrom
1.3688 -4.2726 -1.7176
-2.4566 -2.0465 -3.5855
1.9541 -0.3151 -4.3773
ATOMIC_POSITIONS angstrom
Cu 0.0000 0.0000 0.0000
Te 0.6497 -4.9756 -7.2603
Bi 0.2166 -1.6585 -2.4201


No. 8
! BeTlFeCu, relaxed, DFT GGA-PBE; values from VASP
! Spin magnetization = 0.596 μB per atom
! Total energy = -16.02 eV for the cell shown
! Relative energy among the computed polymorphs = 2 meV/atom
&SYSTEM
  ibrav = 0, nat = 4, ntyp = 4
/
ATOMIC_SPECIES
Cu 63.55 Cu.upf
Be 9.01 Be.upf
Fe 55.84 Fe.upf
Tl 204.38 Tl.upf
CELL_PARAMETERS angstrom
-1.9574 0.2347 3.7965
-1.1164 3.8074 1.5991
-4.1276 1.1031 0.2138
ATOMIC_POSITIONS angstrom
Cu -5.4010 3.8589 4.2071
Be -1.8003 1.2863 1.4024
Fe -3.6007 2.5726 2.8047
Tl 0.0000 0.0000 0.0000